# 1
## LaTb3Pm6Ho2 (PBE)

Data for a relaxed structure of LaTb3Pm6Ho2.

Cell and atoms, written as CIF:
```
data_LaTb3Pm6Ho2
_cell_length_a 6.2711
_cell_length_b 10.8592
_cell_length_c 11.9739
_cell_angle_alpha 90.00
_cell_angle_beta 100.06
_cell_angle_gamma 90.00
_space_group_name_H-M_alt 'C 1 2/m 1'
_space_group_IT_number 12
_space_group_name_Hall '-C 2y'
loop_
_atom_site_label
_atom_site_fract_x
_atom_site_fract_y
_atom_site_fract_z
La1 0.0000 0.0000 0.0000
Tb1 0.0000 0.1672 0.5000
Tb2 0.0000 0.5000 0.5000
Pm1 0.2485 0.3327 0.7485
Pm2 0.2504 0.0000 0.7483
Ho1 0.0000 0.3335 0.0000
```

# 2
## LaTb2Pm2Ho (PBE)

Data for a relaxed structure of LaTb2Pm2Ho.

Cell and atoms, written as CIF:
```
data_LaTb2Pm2Ho
_cell_length_a 6.9888
_cell_length_b 16.4762
_cell_length_c 3.5366
_cell_angle_alpha 90.00
_cell_angle_beta 90.00
_cell_angle_gamma 90.00
_space_group_name_H-M_alt 'P n n m'
_space_group_IT_number 58
_space_group_name_Hall '-P 2 2n'
loop_
_atom_site_label
_atom_site_fract_x
_atom_site_fract_y
_atom_site_fract_z
La1 0.0000 0.0000 0.0000
Tb1 0.2501 0.1549 0.5000
Pm1 0.2473 0.3406 0.0000
Ho1 0.0000 0.5000 0.5000
```

# 3
## LaTbPmHo (PBE)

Data for a relaxed structure of LaTbPmHo.

Cell and atoms, written as CIF:
```
data_LaTbPmHo
_cell_length_a 5.1396
_cell_length_b 5.1396
_cell_length_c 10.2128
_cell_angle_alpha 90.00
_cell_angle_beta 90.00
_cell_angle_gamma 90.00
_space_group_name_H-M_alt 'I -4 m 2'
_space_group_IT_number 119
_space_group_name_Hall 'I -4 -2'
loop_
_atom_site_label
_atom_site_fract_x
_atom_site_fract_y
_atom_site_fract_z
La1 0.0000 0.0000 0.0000
Tb1 0.0000 0.0000 0.5000
Pm1 0.0000 0.5000 0.2500
Ho1 0.0000 0.5000 0.7500
```

# 4
## La2TbPm2Ho (PBE)

Data for a relaxed structure of La2TbPm2Ho.

Cell and atoms, written as CIF:
```
data_La2TbPm2Ho
_cell_length_a 5.7579
_cell_length_b 9.9707
_cell_length_c 7.1272
_cell_angle_alpha 90.00
_cell_angle_beta 90.00
_cell_angle_gamma 90.00
_space_group_name_H-M_alt 'P m c 21'
_space_group_IT_number 26
_space_group_name_Hall 'P 2c -2'
loop_
_atom_site_label
_atom_site_fract_x
_atom_site_fract_y
_atom_site_fract_z
La1 0.0000 0.0006 0.0000
La2 0.5000 0.1769 0.2504
Tb1 0.0000 0.3424 0.7497
Pm1 0.0000 0.3325 0.2501
Pm2 0.5000 0.1653 0.7497
Ho1 0.5000 0.4998 0.9998
```

# 5
## LaTb2Pm4Ho (PBE)

Data for a relaxed structure of LaTb2Pm4Ho.

Cell and atoms, written as CIF:
```
data_LaTb2Pm4Ho
_cell_length_a 6.2556
_cell_length_b 3.6375
_cell_length_c 12.0320
_cell_angle_alpha 90.00
_cell_angle_beta 100.17
_cell_angle_gamma 90.00
_space_group_name_H-M_alt 'P 1 2/m 1'
_space_group_IT_number 10
_space_group_name_Hall '-P 2y'
loop_
_atom_site_label
_atom_site_fract_x
_atom_site_fract_y
_atom_site_fract_z
La1 0.0000 0.0000 0.0000
Tb1 0.0000 0.5000 0.5000
Tb2 0.5000 0.0000 0.5000
Pm1 0.2500 0.0000 0.7487
Pm2 0.2515 0.5000 0.2536
Ho1 0.5000 0.5000 0.0000
```

# 6
## La4Tb2Pm2Ho (PBE)

Data for a relaxed structure of La4Tb2Pm2Ho.

Cell and atoms, written as CIF:
```
data_La4Tb2Pm2Ho
_cell_length_a 15.5792
_cell_length_b 5.2024
_cell_length_c 8.1400
_cell_angle_alpha 90.00
_cell_angle_beta 108.67
_cell_angle_gamma 90.00
_space_group_name_H-M_alt 'C 1 2/m 1'
_space_group_IT_number 12
_space_group_name_Hall '-C 2y'
loop_
_atom_site_label
_atom_site_fract_x
_atom_site_fract_y
_atom_site_fract_z
La1 0.0542 0.0000 0.3292
La2 0.2229 0.5000 0.3305
Tb1 0.1667 0.0000 0.0000
Pm1 0.1122 0.5000 0.6711
Ho1 0.0000 0.5000 0.0000
```

# 7
## LaTb2PmHo2 (PBE)

Data for a relaxed structure of LaTb2PmHo2.

Cell and atoms, written as CIF:
```
data_LaTb2PmHo2
_cell_length_a 6.9984
_cell_length_b 16.1769
_cell_length_c 3.5639
_cell_angle_alpha 90.00
_cell_angle_beta 90.00
_cell_angle_gamma 90.00
_space_group_name_H-M_alt 'P n n m'
_space_group_IT_number 58
_space_group_name_Hall '-P 2 2n'
loop_
_atom_site_label
_atom_site_fract_x
_atom_site_fract_y
_atom_site_fract_z
La1 0.0000 0.0000 0.0000
Tb1 0.2492 0.3411 0.0000
Pm1 0.0000 0.5000 0.5000
Ho1 0.2505 0.1574 0.5000
```

# 8
## La3Tb6PmHo2 (PBE)

Data for a relaxed structure of La3Tb6PmHo2.

Cell and atoms, written as CIF:
```
data_La3Tb6PmHo2
_cell_length_a 6.2542
_cell_length_b 10.8374
_cell_length_c 11.9393
_cell_angle_alpha 90.00
_cell_angle_beta 100.07
_cell_angle_gamma 90.00
_space_group_name_H-M_alt 'C 1 2/m 1'
_space_group_IT_number 12
_space_group_name_Hall '-C 2y'
loop_
_atom_site_label
_atom_site_fract_x
_atom_site_fract_y
_atom_site_fract_z
La1 0.0000 0.0000 0.0000
La2 0.0000 0.3330 0.0000
Tb1 0.2474 0.0000 0.7451
Tb2 0.2484 0.3330 0.7450
Pm1 0.0000 0.5000 0.5000
Ho1 0.0000 0.1668 0.5000
```

# 9
## LaTb3PmHo (PBE)

Data for a relaxed structure of LaTb3PmHo.

Cell and atoms, written as CIF:
```
data_LaTb3PmHo
_cell_length_a 19.9590
_cell_length_b 5.6922
_cell_length_c 7.0616
_cell_angle_alpha 90.00
_cell_angle_beta 90.66
_cell_angle_gamma 90.00
_space_group_name_H-M_alt 'C 1 2/m 1'
_space_group_IT_number 12
_space_group_name_Hall '-C 2y'
loop_
_atom_site_label
_atom_site_fract_x
_atom_site_fract_y
_atom_site_fract_z
La1 0.1454 0.0000 0.0288
Tb1 0.0223 0.0000 0.7386
Tb2 0.1642 0.5000 0.7293
Tb3 0.2202 0.5000 0.2455
Pm1 0.0533 0.5000 0.2661
Ho1 0.1491 0.0000 0.4611
```

# 10
## LaTb2PmHo (PBE)

Data for a relaxed structure of LaTb2PmHo.

Cell and atoms, written as CIF:
```
data_LaTb2PmHo
_cell_length_a 3.6033
_cell_length_b 5.6321
_cell_length_c 8.6828
_cell_angle_alpha 90.00
_cell_angle_beta 90.00
_cell_angle_gamma 90.00
_space_group_name_H-M_alt 'P m m m'
_space_group_IT_number 47
_space_group_name_Hall '-P 2 2'
loop_
_atom_site_label
_atom_site_fract_x
_atom_site_fract_y
_atom_site_fract_z
La1 0.0000 0.0000 0.0000
Tb1 0.0000 0.5000 0.3227
Pm1 0.5000 0.5000 0.0000
Ho1 0.5000 0.0000 0.5000
```

Total magnetic moment (computed, μB per formula unit): 0.0; 0.0; 0.0; 0.0; 0.0; 0.0; 0.0; 0.0; 0.0; 0.0
Energy relative to the elements (computed, meV per atom): 17; 148; 29; 55; 18; 27; 171; 19; 189; 281